# 1
PmDy3In2 after structural relaxation. Source: Alexandria, functional PBE-GGA.

Unit cell a=5.2362 b=9.8608 c=6.7478 alpha=90.00 beta=90.00 gamma=90.00
With the nearest neighbours (Å) after each atom.
Atoms (fractional coordinates):
Pm: 0.0000 0.0371 0.0000  5 In 3.29-3.60, 2 Pm 3.45, 4 Dy 3.53-3.69
Pm: 0.0000 0.9629 0.5000  5 In 3.29-3.60, 2 Pm 3.45, 4 Dy 3.53-3.69
Dy: 0.0000 0.3223 0.6513  4 In 3.15-3.21, 2 Dy 3.51
Dy: 0.0000 0.6777 0.1513  4 In 3.15-3.21, 2 Dy 3.51
Dy: 0.5000 0.1836 0.2780  5 In 3.20-3.59, 2 Pm 3.53
Dy: 0.5000 0.4607 0.9322  5 In 3.26-3.60, 5 Dy 3.46-3.59
Dy: 0.5000 0.5393 0.4322  5 In 3.26-3.60, 5 Dy 3.46-3.59
Dy: 0.5000 0.8164 0.7780  5 In 3.20-3.59, 2 Pm 3.53
In: 0.0000 0.3583 0.1780  6 Dy 3.15-3.26, 1 Pm 3.39
In: 0.0000 0.6417 0.6780  6 Dy 3.15-3.26, 1 Pm 3.39
In: 0.5000 0.1455 0.7497  6 Dy 3.20-3.59, 2 Pm 3.29
In: 0.5000 0.8545 0.2497  6 Dy 3.20-3.59, 2 Pm 3.29

Summary:
- energy of formation from the pure elements (eV/f.u.) = -2.134
- E (eV per cell) = -52.34
- DOS at the Fermi energy (states/eV/cell) = 11.56
- energy above the lowest structure with this stoichiometry (kJ/mol of formula units) = 0.0



# 2
Ac2TbH after structural relaxation. Source: Alexandria, functional PBE-GGA.

Unit cell a=10.5184 b=10.5184 c=10.5184 alpha=20.64 beta=20.64 gamma=20.64
With the nearest neighbours (Å) after each atom.
Atoms (fractional coordinates):
Ac: 0.1155 0.1155 0.1155  3 H 2.69
Ac: 0.8845 0.8845 0.8845  3 H 2.69
Tb: 0.0000 0.0000 0.0000  2 Ac 3.57, 6 Tb 3.77
H: 0.5000 0.5000 0.5000  6 Ac 2.69

Summary:
- E (eV per cell) = -15.74
- DOS at the Fermi energy (states/eV/cell) = 5.61
- energy above the lowest structure with this stoichiometry (kJ/mol of formula units) = 0.0



# 3
SmHoAlCd after structural relaxation. Source: Alexandria, functional PBE-GGA.

Unit cell a=5.2447 b=5.2447 c=5.2447 alpha=60.00 beta=60.00 gamma=60.00
With the nearest neighbours (Å) after each atom.
Atoms (fractional coordinates):
Sm: 0.0000 0.0000 0.0000  4 Cd 3.21, 4 Al 3.21
Ho: 0.5000 0.5000 0.5000  4 Cd 3.21, 4 Al 3.21
Al: 0.2500 0.2500 0.2500  4 Ho 3.21, 4 Sm 3.21
Cd: 0.7500 0.7500 0.7500  4 Ho 3.21, 4 Sm 3.21

Summary:
- energy of formation from the pure elements (eV/f.u.) = -1.383
- E (eV per cell) = -15.34
- DOS at the Fermi energy (states/eV/cell) = 3.32
- energy above the lowest structure with this stoichiometry (kJ/mol of formula units) = 5.3